First-principles (GGA-PBE) data for LiGa2Pd4 after structural relaxation, as listed in the Alexandria database.

The structure in POSCAR format:
```
LiGa2Pd4
1.0
-3.795 1.780 3.641
-2.552 -5.673 -2.683
5.731 -1.098 3.706
Li Ga Pd
2 4 8
Direct
0.316 0.730 0.534
0.023 0.900 0.978
0.517 0.444 0.678
0.810 0.923 0.385
0.554 0.242 0.162
0.038 0.440 0.755
0.042 0.272 0.327
0.347 0.530 0.156
0.834 0.639 0.543
0.777 0.103 0.807
0.382 0.016 0.364
0.262 0.126 0.751
0.500 0.819 0.967
0.847 0.565 0.092
```

Properties
Its density of states at the Fermi level is 4.38 states/eV/cell. Its space group is No. 1. Its energy above the most stable polymorph in this dataset is 0.0 meV per atom. The formation energy comes out at -0.54 eV/atom. The calculation puts the total energy at -4.65 eV/atom.


First-principles (GGA-PBE) data for ThTiAu after structural relaxation, as listed in the Alexandria database.

The structure in POSCAR format:
```
ThTiAu
1.0
4.318 0.000 0.000
0.000 4.318 0.000
0.000 0.000 7.503
Th Au Ti
2 2 2
Direct
0.000 0.500 0.859
0.500 0.000 0.141
0.000 0.500 0.276
0.500 0.000 0.724
0.500 0.500 0.500
0.000 0.000 0.500
```

Properties
Its density of states at the Fermi level is 6.95 states/eV/cell. Its space group is No. 129. Its energy above the most stable polymorph in this dataset is 0.0 meV per atom. The formation energy comes out at -0.31 eV/atom. The calculation puts the total energy at -6.51 eV/atom.